Rb2Pm2RuO6 | GGA-PBE | relaxed

Lattice parameters (Å, degrees): 5.926 5.926 6.897 97.26 97.26 119.27
Last column: magnetic moment on the atom in μB.
Fractional positions:
O 0.354 0.047 0.667  0.04
O 0.047 0.354 0.667  0.04
O 0.763 0.763 0.665  0.12
O 0.237 0.237 0.335  0.12
O 0.953 0.646 0.333  0.04
O 0.646 0.953 0.333  0.04
Pm 0.333 0.667 0.500  0.01
Pm 0.667 0.333 0.500  0.01
Ru 0.000 0.000 0.500  1.44
Rb 0.838 0.162 0.000  0.00
Rb 0.162 0.838 0.000  0.00

Output
SG: C2/m
DFT total energy, eV per atom: -6.68
Volume, Å³/atom: 18.60
Energy relative to the elements, uncorrected, meV per atom: -2089.9
Magnetic moment, μB per formula unit: 2.000



TcHg2Ru | GGA-PBE | relaxed

Lattice parameters (Å, degrees): 4.689 4.689 3.172 90.00 90.00 90.00
Last column: magnetic moment on the atom in μB.
Fractional positions:
Ru 0.500 0.000 0.500  1.08
Tc 0.000 0.500 0.500  0.96
Hg 0.500 0.500 0.000  0.02
Hg 0.000 0.000 0.000  0.02

Output
Energy of formation from the pure elements, eV per formula unit: 3.2
Distance to the lowest polymorph of the same formula, meV/atom: 546
SG: P4/mmm
DFT total energy, eV per atom: -4.26
Volume, Å³/atom: 17.44
Magnetic moment, μB per formula unit: 2.159



Tb5Pm2Pd4 | GGA-PBE | relaxed

Lattice parameters (Å, degrees): 3.630 6.836 12.580 87.00 98.29 90.00
Fractional positions:
Pd 0.673 0.509 0.345
Pd 0.327 0.491 0.655
Pd 0.974 0.313 0.948
Pd 0.026 0.687 0.052
Pm 0.092 0.326 0.185
Pm 0.908 0.674 0.815
Tb 0.764 0.751 0.528
Tb 0.236 0.249 0.472
Tb 0.134 0.817 0.267
Tb 0.500 0.000 0.000
Tb 0.866 0.183 0.733

Output
Energy of formation from the pure elements, eV per formula unit: -4.3
SG: C2/m
DFT total energy, eV per atom: -5.25
Volume, Å³/atom: 28.04
Magnetic moment, μB per formula unit: 0.000



NbB4Mo | GGA-PBE | relaxed

Lattice parameters (Å, degrees): 3.356 3.071 5.317 90.00 90.00 90.00
Fractional positions:
B 0.499 0.997 0.162
B 0.499 0.997 0.834
B 0.499 0.497 0.328
B 0.499 0.497 0.668
Nb 0.999 0.997 0.498
Mo 0.999 0.497 0.998

Output
Energy of formation from the pure elements, eV per formula unit: -3.0
SG: Pmmm
DFT total energy, eV per atom: -8.43
Volume, Å³/atom: 9.13
Magnetic moment, μB per formula unit: 0.000



RbLi2NpCl8 | GGA-PBE | relaxed

Lattice parameters (Å, degrees): 6.426 6.415 9.544 89.70 89.72 75.43
Last column: magnetic moment on the atom in μB.
Fractional positions:
Cl 0.224 0.766 0.191  -0.05
Cl 0.227 0.769 0.809  -0.05
Cl 0.753 0.763 0.000  -0.09
Cl 0.247 0.237 0.000  -0.09
Cl 0.671 0.675 0.499  -0.01
Cl 0.329 0.325 0.501  -0.01
Cl 0.776 0.234 0.809  -0.05
Cl 0.773 0.231 0.191  -0.05
Li 0.500 0.500 0.656  0.00
Li 0.500 0.500 0.344  0.00
Np 0.000 0.000 0.000  2.42
Rb 0.000 0.000 0.500  0.00

Output
SG: P-1
DFT total energy, eV per atom: -4.33
Volume, Å³/atom: 31.73
Energy relative to the elements, uncorrected, meV per atom: -1621.5
Magnetic moment, μB per formula unit: 1.995



Na2HPd | GGA-PBE | relaxed

Lattice parameters (Å, degrees): 9.915 9.915 7.214 46.59 46.59 90.00
Fractional positions:
Na 0.303 0.625 0.250
Na 0.875 0.697 0.750
Na 0.447 0.125 0.250
Na 0.375 0.553 0.750
H 0.250 0.750 0.500
H 0.500 0.500 0.000
Pd 0.000 0.000 0.000
Pd 0.750 0.250 0.500

Output
Distance to the lowest polymorph of the same formula, meV/atom: 58
SG: I-42d
DFT total energy, eV per atom: -2.94
Volume, Å³/atom: 20.90
Magnetic moment, μB per formula unit: 0.000



BeZn2As | GGA-PBE | relaxed

Lattice parameters (Å, degrees): 4.033 4.033 8.454 76.20 76.20 90.00
Fractional positions:
Be 0.500 0.500 0.000
Be 0.250 0.750 0.500
Zn 0.181 0.625 0.250
Zn 0.875 0.819 0.750
Zn 0.375 0.431 0.750
Zn 0.569 0.125 0.250
As 0.750 0.250 0.500
As 0.000 0.000 0.000

Output
Energy of formation from the pure elements, eV per formula unit: 0.9
Distance to the lowest polymorph of the same formula, meV/atom: 42
SG: I-42d
DFT total energy, eV per atom: -2.51
Volume, Å³/atom: 16.18
Magnetic moment, μB per formula unit: 0.000



AcClF4 | GGA-PBE | relaxed

Lattice parameters (Å, degrees): 8.209 4.344 7.228 101.98 121.24 99.42
Fractional positions:
Ac 0.368 0.618 0.236
Ac 0.632 0.382 0.764
F 0.282 0.125 0.359
F 0.327 0.286 0.841
F 0.013 0.554 0.841
F 0.423 0.766 0.641
F 0.987 0.446 0.159
F 0.577 0.234 0.359
F 0.718 0.875 0.641
F 0.673 0.714 0.159
Cl 0.159 0.909 0.819
Cl 0.841 0.091 0.181

Output
Distance to the lowest polymorph of the same formula, meV/atom: 0
SG: C2/c
DFT total energy, eV per atom: -5.01
Volume, Å³/atom: 16.99
Energy relative to the elements, uncorrected, meV per atom: -2772.5
Magnetic moment, μB per formula unit: 0.000